# 1
Here is a relaxed structure of ZnReOs2 from Alexandria. Energies are from PBE.

Properties
Its formation energy is 85 meV/atom. The calculation puts the total energy at -35.8 eV per cell.

a b c (Å): 8.975 8.975 8.975
angles (deg): 17.68 17.68 17.68
Fractional positions:
Re  0.250  0.250  0.250
Os  0.502  0.502  0.502
Os  0.998  0.998  0.998
Zn  0.750  0.750  0.750



# 2
Here is a relaxed structure of CaPmPr6Sm2 from Alexandria. Energies are from PBE.

Properties
Its formation energy is 121 meV/atom. The calculation puts the total energy at -87.3 eV per cell.

a b c (Å): 10.036 9.136 9.136
angles (deg): 118.61 94.36 94.36
Fractional positions:
Sm  0.543  0.200  0.299
Sm  0.043  0.299  0.200
Sm  0.457  0.800  0.701
Sm  0.957  0.701  0.800
Pr  0.322  0.973  0.429
Pr  0.622  0.498  0.711
Pr  0.878  0.289  0.502
Pr  0.822  0.429  0.973
Pr  0.378  0.502  0.289
Pr  0.678  0.027  0.571
Pr  0.122  0.711  0.498
Pr  0.178  0.571  0.027
Pr  0.052  0.116  0.762
Pr  0.948  0.884  0.238
Pr  0.552  0.762  0.116
Pr  0.448  0.238  0.884
Pm  0.250  0.976  0.024
Pm  0.750  0.024  0.976
Ca  0.250  0.402  0.598
Ca  0.750  0.598  0.402



# 3
Here is a relaxed structure of Na2Li2Ca from Alexandria. Energies are from PBE.

Properties
Its formation energy is 58 meV/atom. The calculation puts the total energy at -8.2 eV per cell. The calculation puts the energy above the most stable polymorph in this dataset at 0 meV per atom.

a b c (Å): 3.721 3.791 11.629
angles (deg): 80.62 90.00 90.00
Fractional positions:
Ca  0.000  0.000  0.000
Li  0.500  0.404  0.192
Li  0.500  0.596  0.808
Na  0.000  0.183  0.634
Na  0.000  0.817  0.366



# 4
Here is a relaxed structure of NaTlCd2F8 from Alexandria. Energies are from PBE.

Properties
Its raw formation energy is -2.1658 eV/atom. The calculation puts the total energy at -46.5 eV per cell.

a b c (Å): 3.992 5.484 7.628
angles (deg): 90.00 90.00 89.95
Fractional positions:
F  0.000  0.251  0.731
F  0.500  0.244  0.500
F  0.000  0.749  0.731
F  0.500  0.756  0.500
F  0.500  0.254  0.000
F  0.000  0.749  0.269
F  0.000  0.251  0.269
F  0.500  0.746  0.000
Cd  0.500  0.500  0.763
Cd  0.500  0.500  0.237
Na  0.000  0.000  0.000
Tl  0.000  0.000  0.500